Computed, not measured: a relaxed YHo4Er5 crystal at the PBE level of DFT.

Results
- E_form (eV per atom) = 0.314
- symmetry = I4
- relative energy among the computed polymorphs (meV per atom) = 255
- VASP energy (eV per formula unit) = -44.5

The structure in POSCAR format:
```
YHo4Er5
1.0
-5.8449 1.2768 1.7991
-3.2476 -5.6501 4.3060
-0.4153 3.7318 6.8494
Er Ho Y
5 4 1
direct
0.1829 0.9112 0.6220 Er
0.6832 0.0000 0.0000 Er
0.7160 0.0888 0.3780 Er
0.0941 0.6220 0.0888 Er
0.8048 0.3780 0.9112 Er
0.4020 0.3974 0.7016 Ho
0.5009 0.6026 0.2984 Ho
0.7993 0.7016 0.6026 Ho
0.1035 0.2984 0.3974 Ho
0.2236 0.0000 0.0000 Y
```

---

Computed, not measured: a relaxed Y10Ho4Er crystal at the PBE level of DFT.

Results
- E_form (eV per atom) = 0.731
- symmetry = I4/m
- VASP energy (eV per formula unit) = -76.6

The structure in POSCAR format:
```
Y10Ho4Er
1.0
6.9960 0.0000 3.1590
3.4980 8.5849 1.5795
-0.0350 0.0000 9.4038
Y Ho Er
10 4 1
direct
0.7500 0.5000 0.5000 Y
0.3492 0.7004 0.1006 Y
0.6508 0.2996 0.8994 Y
0.4498 0.8994 0.7004 Y
0.9504 0.8994 0.7004 Y
0.2500 0.5000 0.5000 Y
0.1502 0.2996 0.8994 Y
0.0496 0.1006 0.2996 Y
0.5502 0.1006 0.2996 Y
0.8498 0.7004 0.1006 Y
0.7995 0.6001 0.8009 Ho
0.6004 0.1991 0.6001 Ho
0.2005 0.3999 0.1991 Ho
0.3996 0.8009 0.3999 Ho
0.0000 0.0000 0.0000 Er
```

---

Computed, not measured: a relaxed Y2Ho3Er4 crystal at the PBE level of DFT.

Results
- E_form (eV per atom) = 0.104
- symmetry = C2/c
- relative energy among the computed polymorphs (meV per atom) = 81
- VASP energy (eV per formula unit) = -44.0

The structure in POSCAR format:
```
Y2Ho3Er4
1.0
5.7338 1.6625 1.1903
2.2553 10.9113 0.7467
2.2553 4.2227 10.0887
Er Ho Y
8 6 4
direct
0.0785 0.8132 0.0947 Er
0.9215 0.1868 0.9053 Er
0.4215 0.9053 0.1868 Er
0.0828 0.1429 0.4286 Er
0.5828 0.4286 0.1429 Er
0.4172 0.5714 0.8571 Er
0.5785 0.0947 0.8132 Er
0.9172 0.8571 0.5714 Er
0.2456 0.9296 0.7382 Ho
0.7500 0.4014 0.5986 Ho
0.2544 0.2618 0.0704 Ho
0.2500 0.5986 0.4014 Ho
0.7544 0.0704 0.2618 Ho
0.7456 0.7382 0.9296 Ho
0.5761 0.7628 0.4803 Y
0.9239 0.5197 0.2372 Y
0.4239 0.2372 0.5197 Y
0.0761 0.4803 0.7628 Y
```